Entry w
A geometry-optimized BeHgIr2 structure. Source: the Alexandria database, functional PBE.

V	121.10	Å³/cell

CIF file:
```
data_BeHgIr2
_cell_length_a 2.7967
_cell_length_b 4.8933
_cell_length_c 8.8487
_cell_angle_alpha 90.00
_cell_angle_beta 90.00
_cell_angle_gamma 90.00
_symmetry_space_group_name_H-M 'C m m 2'
_symmetry_Int_Tables_number 35
_symmetry_space_group_name_Hall 'C 2 -2'
loop_
_atom_site_label
_atom_site_type_symbol
_atom_site_fract_x
_atom_site_fract_y
_atom_site_fract_z
Be1 Be 0.0000 0.0000 0.0000
Hg1 Hg 0.0000 0.5000 0.2536
Ir1 Ir 0.0000 0.0000 0.5385
Ir2 Ir 0.0000 0.5000 0.8001
```


Entry x
A geometry-optimized BeHgIr2 structure. Source: the Alexandria database, functional PBE.

V	115.30	Å³/cell

CIF file:
```
data_BeHgIr2
_cell_length_a 9.9519
_cell_length_b 2.8358
_cell_length_c 4.5601
_cell_angle_alpha 90.00
_cell_angle_beta 116.38
_cell_angle_gamma 90.00
_symmetry_space_group_name_H-M 'C 1 2/m 1'
_symmetry_Int_Tables_number 12
_symmetry_space_group_name_Hall '-C 2y'
loop_
_atom_site_label
_atom_site_type_symbol
_atom_site_fract_x
_atom_site_fract_y
_atom_site_fract_z
Be1 Be 0.0000 0.0000 0.0000
Hg1 Hg 0.0000 0.5000 0.5000
Ir1 Ir 0.2121 0.5000 0.2114
```


Result of the stability comparison: entry w is the least stable of them.


Entry w
A geometry-optimized BeHgIr3 structure. Source: the Alexandria database, functional PBE.

V	75.43	Å³/cell

CIF file:
```
data_BeHgIr3
_cell_length_a 4.2253
_cell_length_b 4.2253
_cell_length_c 4.2253
_cell_angle_alpha 90.00
_cell_angle_beta 90.00
_cell_angle_gamma 90.00
_symmetry_space_group_name_H-M 'P m -3 m'
_symmetry_Int_Tables_number 221
_symmetry_space_group_name_Hall '-P 4 2 3'
loop_
_atom_site_label
_atom_site_type_symbol
_atom_site_fract_x
_atom_site_fract_y
_atom_site_fract_z
Be1 Be 0.0000 0.0000 0.0000
Hg1 Hg 0.5000 0.5000 0.5000
Ir1 Ir 0.0000 0.0000 0.5000
```


Entry x
A geometry-optimized BeHgIr3 structure. Source: the Alexandria database, functional PBE.

V	118.97	Å³/cell

CIF file:
```
data_BeHgIr3
_cell_length_a 4.9183
_cell_length_b 4.9183
_cell_length_c 4.9183
_cell_angle_alpha 90.00
_cell_angle_beta 90.00
_cell_angle_gamma 90.00
_symmetry_space_group_name_H-M 'P m -3 m'
_symmetry_Int_Tables_number 221
_symmetry_space_group_name_Hall '-P 4 2 3'
loop_
_atom_site_label
_atom_site_type_symbol
_atom_site_fract_x
_atom_site_fract_y
_atom_site_fract_z
Be1 Be 0.0000 0.0000 0.0000
Hg1 Hg 0.5000 0.5000 0.5000
Ir1 Ir 0.0000 0.5000 0.5000
```


Result of the stability comparison: entry x is the least stable of them.